Entry 1:
Computed, not measured: an optimized crystal structure of Hf4ZnBiC2 at the PBE-GGA level of DFT.

**Calculated total energy**: -8.515 eV/atom

The structure in POSCAR format:
```
Hf4ZnBiC2
1.0
3.348 0.000 0.000
-1.674 2.899 0.000
0.000 0.000 14.331
Hf Bi C Zn
4 1 2 1
Direct
0.667 0.333 0.173
0.667 0.333 0.827
0.000 0.000 0.658
0.000 0.000 0.342
0.000 0.000 0.000
0.333 0.667 0.256
0.333 0.667 0.744
0.667 0.333 0.500
```

***

Entry 2:
Computed, not measured: an optimized crystal structure of ScBiAu2 at the PBE-GGA level of DFT.

**Calculated total energy**: -4.555 eV/atom

The structure in POSCAR format:
```
ScBiAu2
1.0
0.000 3.491 3.491
3.491 0.000 3.491
3.491 3.491 0.000
Bi Au Sc
1 2 1
Direct
0.500 0.500 0.500
0.750 0.750 0.750
0.000 0.000 0.000
0.250 0.250 0.250
```

***

Entry 3:
Computed, not measured: an optimized crystal structure of TbNb2W2 at the PBE-GGA level of DFT.

**Calculated total energy**: -9.683 eV/atom

The structure in POSCAR format:
```
TbNb2W2
1.0
-3.513 1.856 -1.781
-1.952 0.038 3.892
4.890 4.128 -0.023
Tb W Nb
1 2 2
Direct
0.000 0.000 0.000
0.387 0.387 0.774
0.613 0.613 0.226
0.750 0.250 0.500
0.250 0.750 0.500
```

***

Entry 4:
Computed, not measured: an optimized crystal structure of SrYAuS3 at the PBE-GGA level of DFT.

**Calculated total energy**: -5.474 eV/atom

The structure in POSCAR format:
```
SrYAuS3
1.0
4.053 0.000 0.000
0.000 11.109 0.000
0.000 0.000 12.276
S Sr Au Y
12 4 4 4
Direct
0.250 0.318 0.691
0.750 0.047 0.614
0.750 0.818 0.809
0.750 0.682 0.309
0.250 0.547 0.886
0.250 0.843 0.034
0.250 0.953 0.386
0.750 0.343 0.466
0.750 0.453 0.114
0.250 0.182 0.191
0.750 0.157 0.966
0.250 0.657 0.534
0.250 0.025 0.816
0.750 0.975 0.184
0.750 0.525 0.684
0.250 0.475 0.316
0.750 0.266 0.796
0.250 0.766 0.704
0.750 0.234 0.296
0.250 0.734 0.204
0.750 0.831 0.494
0.750 0.669 0.994
0.250 0.169 0.506
0.250 0.331 0.006
```

***

Entry 5:
Computed, not measured: an optimized crystal structure of InNiPtW at the PBE-GGA level of DFT.

**Calculated total energy**: -6.674 eV/atom

The structure in POSCAR format:
```
InNiPtW
1.0
2.175 -3.905 -0.337
1.587 -2.006 3.681
-1.911 -3.767 1.501
Pt In Ni W
1 1 1 1
Direct
0.250 0.250 0.250
0.000 0.000 0.000
0.750 0.750 0.750
0.500 0.500 0.500
```

***

Entry 6:
Computed, not measured: an optimized crystal structure of Ta2NbOs at the PBE-GGA level of DFT.

**Calculated total energy**: -11.203 eV/atom

The structure in POSCAR format:
```
Ta2NbOs
1.0
-2.678 0.597 -4.959
4.171 -6.813 -3.072
-4.316 -3.503 1.910
Ta Nb Os
8 4 4
Direct
0.883 0.964 0.718
0.617 0.964 0.218
0.883 0.536 0.718
0.117 0.464 0.282
0.617 0.536 0.218
0.117 0.036 0.282
0.383 0.464 0.782
0.383 0.036 0.782
0.842 0.250 0.967
0.342 0.750 0.533
0.658 0.250 0.467
0.158 0.750 0.033
0.129 0.250 0.593
0.629 0.750 0.907
0.371 0.250 0.093
0.871 0.750 0.407
```